No. 1
Density functional theory data (GGA-PBEsol) for an optimized crystal structure of TlFeCu.

abc: 5.916 5.916 5.916
angles: 90.00 90.00 90.00
Space group F-43m (No. 216)
Asymmetric unit:
Tl 0.000 0.000 0.000 (multiplicity 4)
Fe 0.000 0.000 0.500 (multiplicity 4)
Cu 0.250 0.250 0.750 (multiplicity 4)

Summary:
Formation energy   0.645 eV/atom
Final energy   -55.97 eV per cell
Crystal system   cubic



No. 2
Density functional theory data (GGA-PBEsol) for an optimized crystal structure of LiRuRh3.

abc: 4.003 4.003 4.003
angles: 90.00 90.00 90.00
Space group Pm-3m (No. 221)
Asymmetric unit:
Li 0.000 0.000 0.000 (multiplicity 1)
Ru 0.500 0.500 0.500 (multiplicity 1)
Rh 0.000 0.000 0.500 (multiplicity 3)

Summary:
Formation energy   0.865 eV/atom
Final energy   -32.23 eV per cell
Crystal system   cubic



No. 3
Density functional theory data (GGA-PBEsol) for an optimized crystal structure of SrRu2Cl.

abc: 5.062 10.412 2.889
angles: 90.00 90.00 90.00
Space group Cmmm (No. 65)
Asymmetric unit:
Sr 0.000 0.000 0.000 (multiplicity 2)
Ru 0.250 0.250 0.500 (multiplicity 4)
Cl 0.000 0.500 0.000 (multiplicity 2)

Summary:
ΔE to the lowest computed polymorph   306 kJ/mol of formula units
Final energy   -42.18 eV per cell
Crystal system   orthorhombic
Uncorrected formation energy   0.7759 eV per atom



No. 4
Density functional theory data (GGA-PBEsol) for an optimized crystal structure of Ag2OsSe.

abc: 5.390 9.125 2.655
angles: 90.00 90.00 90.00
Space group Cmmm (No. 65)
Asymmetric unit:
Ag 0.250 0.250 0.000 (multiplicity 4)
Os 0.000 0.000 0.500 (multiplicity 2)
Se 0.000 0.500 0.500 (multiplicity 2)

Summary:
Final energy   -40.20 eV per cell
Crystal system   orthorhombic
Uncorrected formation energy   0.6467 eV per atom